1) Entry from Alexandria: a geometry-optimized NaBi3Pb structure (PBE).

a = 4.9623 Å, b = 8.2637 Å, c = 7.7898 Å
α = 89.47°, β = 89.99°, γ = 90.00°
Fractional coordinates of all 10 atoms:
1 Bi 0.3759 0.8410 0.9447
2 Bi 0.8759 0.9609 0.6960
3 Bi 0.3754 0.0021 0.3503
4 Bi 0.3759 0.3918 0.2056
5 Bi 0.8756 0.3505 0.5513
6 Bi 0.8759 0.5118 0.9569
7 Pb 0.3753 0.6209 0.5877
8 Pb 0.8752 0.7318 0.3138
9 Na 0.3757 0.2329 0.7981
10 Na 0.8754 0.1201 0.1035

Its symmetry is P2_1/m (11). The value obtained for the magnetic moment is 0.00 μB/cell. The density of states at the Fermi level comes out at 0.393 states/eV per atom.

---

2) Entry from Alexandria: a geometry-optimized NaBi3Pb structure (PBE).

a = 7.6180 Å, b = 9.2079 Å, c = 9.6714 Å
α = 90.00°, β = 90.02°, γ = 90.00°
Fractional coordinates of all 20 atoms:
1 Pb 0.7411 0.8409 0.4999
2 Pb 0.2410 0.6592 0.9999
3 Pb 0.7590 0.3408 0.0001
4 Pb 0.2589 0.1591 0.5001
5 Na 0.2898 0.1162 0.9999
6 Na 0.7102 0.8838 0.0001
7 Na 0.7898 0.3838 0.4999
8 Na 0.2102 0.6162 0.5001
9 Bi 0.5004 0.5004 0.2372
10 Bi 0.3948 0.8511 0.7382
11 Bi 0.6052 0.1489 0.2618
12 Bi 0.4996 0.4996 0.7628
13 Bi 0.1061 0.3513 0.2382
14 Bi 0.1053 0.3511 0.7618
15 Bi 0.6061 0.1487 0.7382
16 Bi 0.8939 0.6487 0.7618
17 Bi 0.8947 0.6489 0.2382
18 Bi 0.9996 0.0004 0.2628
19 Bi 0.3939 0.8513 0.2618
20 Bi 0.0004 0.9996 0.7372

Its symmetry is P2_1/c (14). The value obtained for the magnetic moment is 0.00 μB/cell. The density of states at the Fermi level comes out at 0.472 states/eV per atom.

---

3) Entry from Alexandria: a geometry-optimized NaBi3Pb structure (PBE).

a = 6.0187 Å, b = 6.0187 Å, c = 6.0187 Å
α = 90.00°, β = 90.00°, γ = 90.00°
Fractional coordinates of all 5 atoms:
1 Pb 0.0000 0.0000 0.0000
2 Bi 0.0000 0.5000 0.0000
3 Bi 0.0000 0.0000 0.5000
4 Bi 0.5000 0.0000 0.0000
5 Na 0.5000 0.5000 0.5000

Its symmetry is Pm-3m (221). The value obtained for the magnetic moment is 0.00 μB/cell. The density of states at the Fermi level comes out at 1.065 states/eV per atom.

---

Which of them is most stable, and which least? Most stable: 1); least stable: 3).

---

1) Entry from Alexandria: a geometry-optimized NaBi2Pb6 structure (PBE).

a = 5.0184 Å, b = 7.9763 Å, c = 7.7837 Å
α = 106.49°, β = 108.81°, γ = 90.00°
Fractional coordinates of all 9 atoms:
1 Pb 0.6096 0.1636 0.2193
2 Pb 0.1670 0.4934 0.3341
3 Pb 0.8330 0.5066 0.6659
4 Pb 0.2811 0.1604 0.5623
5 Pb 0.3904 0.8364 0.7807
6 Pb 0.7189 0.8396 0.4377
7 Na 0.5000 0.5000 0.0000
8 Bi 0.0551 0.8244 0.1101
9 Bi 0.9449 0.1756 0.8899

Its symmetry is C2/m (12). The value obtained for the magnetic moment is 0.00 μB/cell. The density of states at the Fermi level comes out at 0.494 states/eV per atom.

---

2) Entry from Alexandria: a geometry-optimized NaBi2Pb6 structure (PBE).

a = 3.5240 Å, b = 8.3847 Å, c = 10.1529 Å
α = 80.60°, β = 80.01°, γ = 77.87°
Fractional coordinates of all 9 atoms:
1 Pb 0.0528 0.6429 0.2516
2 Pb 0.2281 0.6446 0.8992
3 Pb 0.6328 0.2863 0.4482
4 Pb 0.3672 0.7137 0.5518
5 Pb 0.7719 0.3554 0.1008
6 Pb 0.9472 0.3571 0.7484
7 Na 0.0000 0.0000 0.0000
8 Bi 0.3502 0.0123 0.2874
9 Bi 0.6498 0.9877 0.7126

Its symmetry is C2/m (12). The value obtained for the magnetic moment is 0.00 μB/cell. The density of states at the Fermi level comes out at 0.609 states/eV per atom.

---

Which of them is most stable, and which least? Most stable: 1); least stable: 2).

---

1) Entry from Alexandria: a geometry-optimized NaBi6Pb12 structure (PBE).

a = 8.7473 Å, b = 8.7473 Å, c = 8.7473 Å
α = 102.50°, β = 102.50°, γ = 102.50°
Fractional coordinates of all 19 atoms:
1 Pb 0.8079 0.4225 0.4236
2 Pb 0.4225 0.4236 0.8079
3 Pb 0.2631 0.7368 0.9998
4 Pb 0.7369 0.2632 0.0002
5 Pb 0.2632 0.0002 0.7369
6 Pb 0.7368 0.9998 0.2631
7 Pb 0.5775 0.5764 0.1921
8 Pb 0.9998 0.2631 0.7368
9 Pb 0.4236 0.8079 0.4225
10 Pb 0.1921 0.5775 0.5764
11 Pb 0.5764 0.1921 0.5775
12 Pb 0.0002 0.7369 0.2632
13 Bi 0.1571 0.4041 0.1569
14 Bi 0.5959 0.8431 0.8429
15 Bi 0.8431 0.8429 0.5959
16 Bi 0.1569 0.1571 0.4041
17 Bi 0.4041 0.1569 0.1571
18 Bi 0.8429 0.5959 0.8431
19 Na 0.0000 0.0000 0.0000

Its symmetry is R-3 (148). The value obtained for the magnetic moment is 0.00 μB/cell. The density of states at the Fermi level comes out at 0.542 states/eV per atom.

---

2) Entry from Alexandria: a geometry-optimized NaBi6Pb12 structure (PBE).

a = 8.4966 Å, b = 8.4966 Å, c = 8.4966 Å
α = 90.68°, β = 89.32°, γ = 89.32°
Fractional coordinates of all 19 atoms:
1 Bi 0.8673 0.2780 0.7529
2 Bi 0.2780 0.2471 0.8673
3 Bi 0.7529 0.8673 0.7220
4 Bi 0.2471 0.1327 0.2780
5 Bi 0.7220 0.7529 0.1327
6 Bi 0.1327 0.7220 0.2471
7 Pb 0.9574 0.3794 0.1487
8 Pb 0.1487 0.9574 0.6206
9 Pb 0.4730 0.7968 0.4519
10 Pb 0.8513 0.0426 0.3794
11 Pb 0.0426 0.6206 0.8513
12 Pb 0.2032 0.4519 0.5270
13 Pb 0.6206 0.1487 0.0426
14 Pb 0.5270 0.2032 0.5481
15 Pb 0.3794 0.8513 0.9574
16 Pb 0.5481 0.5270 0.7968
17 Pb 0.4519 0.4730 0.2032
18 Pb 0.7968 0.5481 0.4730
19 Na 0.0000 0.0000 0.0000

Its symmetry is R-3 (148). The value obtained for the magnetic moment is 0.00 μB/cell. The density of states at the Fermi level comes out at 0.531 states/eV per atom.

---

Which of them is most stable, and which least? Most stable: 2); least stable: 1).

---

1) Entry from Alexandria: a geometry-optimized Na2BiPb3 structure (PBE).

a = 8.6503 Å, b = 8.6502 Å, c = 10.4968 Å
α = 110.89°, β = 145.19°, γ = 64.59°
Fractional coordinates of all 12 atoms:
1 Pb 0.2069 0.9569 0.2500
2 Pb 0.7710 0.7063 0.3922
3 Pb 0.8141 0.3788 0.1078
4 Pb 0.2290 0.2937 0.6078
5 Pb 0.1859 0.6212 0.8922
6 Pb 0.7931 0.0431 0.7500
7 Bi 0.0154 0.2654 0.7500
8 Bi 0.9846 0.7346 0.2500
9 Na 0.6166 0.5426 0.7330
10 Na 0.3096 0.8835 0.7670
11 Na 0.3834 0.4574 0.2670
12 Na 0.6904 0.1165 0.2330

Its symmetry is C2/c (15). The value obtained for the magnetic moment is 0.00 μB/cell. The density of states at the Fermi level comes out at 0.329 states/eV per atom.

---

2) Entry from Alexandria: a geometry-optimized Na2BiPb3 structure (PBE).

a = 3.4752 Å, b = 5.4298 Å, c = 9.9022 Å
α = 90.00°, β = 90.00°, γ = 90.00°
Fractional coordinates of all 6 atoms:
1 Pb 0.5000 0.0000 0.8342
2 Pb 0.5000 0.0000 0.1641
3 Pb 0.5000 0.5000 0.6624
4 Na 0.0000 0.5000 0.0046
5 Na 0.0000 0.0000 0.4954
6 Bi 0.5000 0.5000 0.3392

Its symmetry is Pmm2 (25). The value obtained for the magnetic moment is 0.00 μB/cell. The density of states at the Fermi level comes out at 0.407 states/eV per atom.

---

Which of them is most stable, and which least? Most stable: 2); least stable: 1).

---

1) Entry from Alexandria: a geometry-optimized NaBi3Pb2 structure (PBE).

a = 8.9524 Å, b = 6.6842 Å, c = 6.6842 Å
α = 96.03°, β = 94.01°, γ = 94.01°
Fractional coordinates of all 12 atoms:
1 Na 0.7500 0.4172 0.5828
2 Na 0.2500 0.5828 0.4172
3 Bi 0.4917 0.6696 0.8377
4 Bi 0.0083 0.1623 0.3304
5 Bi 0.9917 0.8377 0.6696
6 Bi 0.5000 0.0000 0.5000
7 Bi 0.5083 0.3304 0.1623
8 Bi 0.0000 0.5000 0.0000
9 Pb 0.7500 0.0869 0.9131
10 Pb 0.7500 0.7519 0.2481
11 Pb 0.2500 0.9131 0.0869
12 Pb 0.2500 0.2481 0.7519

Its symmetry is C2/c (15). The value obtained for the magnetic moment is 0.00 μB/cell. The density of states at the Fermi level comes out at 0.630 states/eV per atom.

---

2) Entry from Alexandria: a geometry-optimized NaBi3Pb2 structure (PBE).

a = 7.0428 Å, b = 6.0041 Å, c = 9.9590 Å
α = 103.23°, β = 110.71°, γ = 90.00°
Fractional coordinates of all 12 atoms:
1 Bi 0.0348 0.7012 0.3024
2 Bi 0.3924 0.2500 0.0000
3 Bi 0.6076 0.7500 0.0000
4 Bi 0.7323 0.7988 0.6976
5 Bi 0.9652 0.2988 0.6976
6 Bi 0.2677 0.2012 0.3024
7 Na 0.8710 0.2500 0.0000
8 Na 0.1290 0.7500 0.0000
9 Pb 0.2025 0.7885 0.6639
10 Pb 0.7975 0.2115 0.3361
11 Pb 0.4614 0.2885 0.6639
12 Pb 0.5386 0.7115 0.3361

Its symmetry is C2/c (15). The value obtained for the magnetic moment is 0.00 μB/cell. The density of states at the Fermi level comes out at 0.413 states/eV per atom.

---

Which of them is most stable, and which least? Most stable: 2); least stable: 1).

---

1) Entry from Alexandria: a geometry-optimized NaBiPb6 structure (PBE).

a = 5.9396 Å, b = 5.9396 Å, c = 7.1516 Å
α = 90.00°, β = 90.00°, γ = 90.00°
Fractional coordinates of all 8 atoms:
1 Pb 0.0000 0.5000 0.7374
2 Pb 0.5000 0.5000 0.5000
3 Pb 0.0000 0.5000 0.2626
4 Pb 0.5000 0.0000 0.7374
5 Pb 0.5000 0.0000 0.2626
6 Pb 0.5000 0.5000 0.0000
7 Na 0.0000 0.0000 0.0000
8 Bi 0.0000 0.0000 0.5000

Its symmetry is P4/mmm (123). The value obtained for the magnetic moment is 0.00 μB/cell. The density of states at the Fermi level comes out at 0.541 states/eV per atom.

---

2) Entry from Alexandria: a geometry-optimized NaBiPb6 structure (PBE).

a = 6.5250 Å, b = 6.5250 Å, c = 6.5250 Å
α = 86.56°, β = 86.56°, γ = 86.56°
Fractional coordinates of all 8 atoms:
1 Pb 0.8363 0.4564 0.8363
2 Pb 0.4564 0.8363 0.8363
3 Pb 0.8363 0.8363 0.4564
4 Pb 0.5436 0.1637 0.1637
5 Pb 0.1637 0.5436 0.1637
6 Pb 0.1637 0.1637 0.5436
7 Na 0.0000 0.0000 0.0000
8 Bi 0.5000 0.5000 0.5000

Its symmetry is R-3m (166). The value obtained for the magnetic moment is 0.00 μB/cell. The density of states at the Fermi level comes out at 0.681 states/eV per atom.

---

Which of them is most stable, and which least? Most stable: 1); least stable: 2).

---

1) Entry from Alexandria: a geometry-optimized Na8BiPb2 structure (PBE).

a = 5.4018 Å, b = 9.2212 Å, c = 8.6427 Å
α = 122.27°, β = 108.23°, γ = 89.99°
Fractional coordinates of all 11 atoms:
1 Na 0.9525 0.5819 0.5431
2 Na 0.6104 0.1263 0.8565
3 Na 0.2965 0.3946 0.2288
4 Na 0.6106 0.7292 0.8569
5 Na 0.8145 0.1324 0.2644
6 Na 0.0992 0.4187 0.8352
7 Na 0.2970 0.8341 0.2299
8 Na 0.9533 0.9641 0.5447
9 Bi 0.1546 0.9717 0.9446
10 Pb 0.7396 0.5576 0.1159
11 Pb 0.4718 0.2894 0.5799

Its symmetry is P1 (1). The value obtained for the magnetic moment is 0.00 μB/cell. The density of states at the Fermi level comes out at 0.560 states/eV per atom.

---

2) Entry from Alexandria: a geometry-optimized Na8BiPb2 structure (PBE).

a = 5.3758 Å, b = 8.1249 Å, c = 8.1249 Å
α = 104.50°, β = 90.00°, γ = 90.00°
Fractional coordinates of all 11 atoms:
1 Pb 0.0000 0.3798 0.6202
2 Pb 0.0000 0.6202 0.3798
3 Na 0.0008 0.0380 0.2987
4 Na 0.0008 0.2987 0.0380
5 Na 0.9992 0.7013 0.9620
6 Na 0.4992 0.6678 0.6678
7 Na 0.9992 0.9620 0.7013
8 Na 0.5008 0.3322 0.3322
9 Na 0.5000 0.2483 0.7517
10 Na 0.5000 0.7517 0.2483
11 Bi 0.5000 0.0000 0.0000

Its symmetry is Cmmm (65). The value obtained for the magnetic moment is 0.00 μB/cell. The density of states at the Fermi level comes out at 0.342 states/eV per atom.

---

Which of them is most stable, and which least? Most stable: 2); least stable: 1).

---

1) Entry from Alexandria: a geometry-optimized NaBi2Pb8 structure (PBE).

a = 6.0067 Å, b = 9.1371 Å, c = 8.4849 Å
α = 124.53°, β = 110.73°, γ = 90.00°
Fractional coordinates of all 11 atoms:
1 Bi 0.7631 0.3475 0.5263
2 Bi 0.2369 0.6525 0.4737
3 Pb 0.1429 0.1898 0.2858
4 Pb 0.5938 0.4561 0.1876
5 Pb 0.8571 0.8102 0.7142
6 Pb 0.3176 0.0854 0.6352
7 Pb 0.9554 0.2726 0.9107
8 Pb 0.6824 0.9146 0.3648
9 Pb 0.4062 0.5439 0.8124
10 Pb 0.0446 0.7274 0.0893
11 Na 0.5000 0.0000 0.0000

Its symmetry is C2/m (12). The value obtained for the magnetic moment is 0.00 μB/cell. The density of states at the Fermi level comes out at 0.464 states/eV per atom.

---

2) Entry from Alexandria: a geometry-optimized NaBi2Pb8 structure (PBE).

a = 5.8899 Å, b = 8.4612 Å, c = 8.4612 Å
α = 68.57°, β = 80.65°, γ = 80.65°
Fractional coordinates of all 11 atoms:
1 Pb 0.0969 0.7611 0.7611
2 Pb 0.9031 0.2389 0.2389
3 Pb 0.2206 0.7842 0.3659
4 Pb 0.6529 0.6271 0.6271
5 Pb 0.2206 0.3659 0.7842
6 Pb 0.7794 0.2158 0.6341
7 Pb 0.7794 0.6341 0.2158
8 Pb 0.3471 0.3729 0.3729
9 Na 0.0000 0.0000 0.0000
10 Bi 0.4568 0.1297 0.1297
11 Bi 0.5432 0.8703 0.8703

Its symmetry is C2/m (12). The value obtained for the magnetic moment is 0.00 μB/cell. The density of states at the Fermi level comes out at 0.495 states/eV per atom.

---

Which of them is most stable, and which least? Most stable: 1); least stable: 2).

---

1) Entry from Alexandria: a geometry-optimized NaBi4Pb5 structure (PBE).

a = 5.6627 Å, b = 7.3716 Å, c = 8.9793 Å
α = 89.51°, β = 108.38°, γ = 90.00°
Fractional coordinates of all 10 atoms:
1 Pb 0.8303 0.4954 0.6606
2 Pb 0.1697 0.5046 0.3394
3 Pb 0.5000 0.5000 0.0000
4 Pb 0.1731 0.9871 0.3463
5 Pb 0.8269 0.0129 0.6537
6 Bi 0.9793 0.7566 0.9586
7 Bi 0.6715 0.7437 0.3429
8 Bi 0.0207 0.2434 0.0414
9 Bi 0.3285 0.2563 0.6571
10 Na 0.5000 0.0000 0.0000

Its symmetry is C2/m (12). The value obtained for the magnetic moment is 0.00 μB/cell. The density of states at the Fermi level comes out at 0.379 states/eV per atom.

---

2) Entry from Alexandria: a geometry-optimized NaBi4Pb5 structure (PBE).

a = 4.1498 Å, b = 9.8032 Å, c = 8.7273 Å
α = 77.97°, β = 103.75°, γ = 90.00°
Fractional coordinates of all 10 atoms:
1 Pb 0.1732 0.7730 0.3464
2 Pb 0.8268 0.2270 0.6536
3 Pb 0.5000 0.5000 0.0000
4 Pb 0.8172 0.5869 0.6344
5 Pb 0.1828 0.4131 0.3656
6 Bi 0.9607 0.7623 0.9213
7 Bi 0.6745 0.0758 0.3490
8 Bi 0.3255 0.9242 0.6510
9 Bi 0.0393 0.2377 0.0787
10 Na 0.5000 0.0000 0.0000

Its symmetry is C2/m (12). The value obtained for the magnetic moment is 0.00 μB/cell. The density of states at the Fermi level comes out at 0.531 states/eV per atom.

---

Which of them is most stable, and which least? Most stable: 1); least stable: 2).

---

1) Entry from Alexandria: a geometry-optimized NaBi4Pb2 structure (PBE).

a = 6.9457 Å, b = 6.9457 Å, c = 6.8549 Å
α = 119.68°, β = 119.68°, γ = 91.29°
Fractional coordinates of all 7 atoms:
1 Bi 0.7149 0.7905 0.5053
2 Bi 0.2205 0.2851 0.0000
3 Bi 0.7149 0.7795 0.0000
4 Bi 0.2095 0.2851 0.4947
5 Pb 0.7126 0.2874 0.5000
6 Pb 0.2126 0.7874 0.5000
7 Na 0.2149 0.7851 0.0000

Its symmetry is Fmm2 (42). The value obtained for the magnetic moment is 0.00 μB/cell. The density of states at the Fermi level comes out at 0.514 states/eV per atom.

---

2) Entry from Alexandria: a geometry-optimized NaBi4Pb2 structure (PBE).

a = 4.2804 Å, b = 8.4169 Å, c = 13.4788 Å
α = 90.00°, β = 90.00°, γ = 90.00°
Fractional coordinates of all 14 atoms:
1 Bi 0.5000 0.7310 0.6378
2 Bi 0.5000 0.2310 0.8622
3 Bi 0.5000 0.7690 0.1378
4 Bi 0.0000 0.0507 0.2455
5 Bi 0.0000 0.9493 0.7545
6 Bi 0.0000 0.4493 0.7455
7 Bi 0.0000 0.5507 0.2545
8 Bi 0.5000 0.2690 0.3622
9 Pb 0.5000 0.8336 0.3794
10 Pb 0.5000 0.1664 0.6206
11 Pb 0.5000 0.6664 0.8794
12 Pb 0.5000 0.3336 0.1206
13 Na 0.0000 0.0000 0.0000
14 Na 0.0000 0.5000 0.5000

Its symmetry is Pbam (55). The value obtained for the magnetic moment is 0.00 μB/cell. The density of states at the Fermi level comes out at 0.516 states/eV per atom.

---

Which of them is most stable, and which least? Most stable: 1); least stable: 2).